First-principles (PBE) data for crystalline Be2TeWC at its relaxed geometry, as listed in the Alexandria database.

```
data_Be2TeWC
_space_group_name_H-M_alt 'P 1'
_space_group_IT_number 1
_space_group_name_Hall 'P 1'
_cell_length_a 3.910
_cell_length_b 3.910
_cell_length_c 4.281
_cell_angle_alpha 90.00
_cell_angle_beta 90.00
_cell_angle_gamma 90.00
loop_
_atom_site_label
_atom_site_type_symbol
_atom_site_fract_x
_atom_site_fract_y
_atom_site_fract_z
_atom_site_occupancy
Be1 Be 0.000 0.500 0.000 1
Be2 Be 0.500 0.000 0.000 1
Te1 Te 0.000 0.000 0.500 1
W1 W 0.500 0.500 0.500 1
C1 C 0.500 0.500 0.000 1
```

Properties
D(E_F) = 2.602 states/eV/f.u.
Formation energy from raw total energies = 0.69 eV per atom

First-principles (PBE) data for crystalline NpZnPt2 at its relaxed geometry, as listed in the Alexandria database.

```
data_NpZnPt2
_space_group_name_H-M_alt 'P 1'
_space_group_IT_number 1
_space_group_name_Hall 'P 1'
_cell_length_a 5.021
_cell_length_b 5.021
_cell_length_c 2.893
_cell_angle_alpha 90.00
_cell_angle_beta 90.00
_cell_angle_gamma 90.00
loop_
_atom_site_label
_atom_site_type_symbol
_atom_site_fract_x
_atom_site_fract_y
_atom_site_fract_z
_atom_site_occupancy
Np1 Np 0.000 0.000 0.000 1
Zn1 Zn 0.500 0.500 0.000 1
Pt1 Pt 0.000 0.500 0.500 1
Pt2 Pt 0.500 0.000 0.500 1
```

Properties
VASP energy = -27.771 eV per cell
D(E_F) = 7.328 states/eV/f.u.

First-principles (PBE) data for crystalline Ac3Tl2In at its relaxed geometry, as listed in the Alexandria database.

```
data_Ac3Tl2In
_space_group_name_H-M_alt 'P 1'
_space_group_IT_number 1
_space_group_name_Hall 'P 1'
_cell_length_a 4.125
_cell_length_b 4.125
_cell_length_c 12.363
_cell_angle_alpha 90.00
_cell_angle_beta 90.00
_cell_angle_gamma 90.00
loop_
_atom_site_label
_atom_site_type_symbol
_atom_site_fract_x
_atom_site_fract_y
_atom_site_fract_z
_atom_site_occupancy
Ac1 Ac 0.000 0.000 0.000 1
Ac2 Ac 0.000 0.000 0.336 1
Ac3 Ac 0.000 0.000 0.664 1
Tl1 Tl 0.500 0.500 0.168 1
Tl2 Tl 0.500 0.500 0.832 1
In1 In 0.500 0.500 0.500 1
```

Properties
VASP energy = -22.050 eV per cell
D(E_F) = 6.199 states/eV/f.u.

First-principles (PBE) data for crystalline La5Y at its relaxed geometry, as listed in the Alexandria database.

```
data_La5Y
_space_group_name_H-M_alt 'P 1'
_space_group_IT_number 1
_space_group_name_Hall 'P 1'
_cell_length_a 13.632
_cell_length_b 3.746
_cell_length_c 8.849
_cell_angle_alpha 90.00
_cell_angle_beta 104.31
_cell_angle_gamma 90.00
loop_
_atom_site_label
_atom_site_type_symbol
_atom_site_fract_x
_atom_site_fract_y
_atom_site_fract_z
_atom_site_occupancy
La1 La 0.000 0.000 0.000 1
La2 La 0.056 0.000 0.615 1
La3 La 0.167 0.500 0.336 1
La4 La 0.331 0.000 0.671 1
La5 La 0.389 0.000 0.277 1
La6 La 0.500 0.500 0.000 1
La7 La 0.556 0.500 0.615 1
La8 La 0.667 0.000 0.336 1
La9 La 0.831 0.500 0.671 1
La10 La 0.889 0.500 0.277 1
Y1 Y 0.222 0.500 0.949 1
Y2 Y 0.722 0.000 0.949 1
```

Properties
Distance to the lowest polymorph of the same formula = 18 meV/atom
D(E_F) = 11.280 states/eV/f.u.

First-principles (PBE) data for crystalline ZnCuO at its relaxed geometry, as listed in the Alexandria database.

```
data_ZnCuO
_space_group_name_H-M_alt 'P 1'
_space_group_IT_number 1
_space_group_name_Hall 'P 1'
_cell_length_a 9.986
_cell_length_b 2.839
_cell_length_c 5.152
_cell_angle_alpha 90.00
_cell_angle_beta 103.33
_cell_angle_gamma 90.00
loop_
_atom_site_label
_atom_site_type_symbol
_atom_site_fract_x
_atom_site_fract_y
_atom_site_fract_z
_atom_site_occupancy
Zn1 Zn 0.153 0.000 0.279 1
Zn2 Zn 0.347 0.500 0.721 1
Zn3 Zn 0.653 0.500 0.279 1
Zn4 Zn 0.847 0.000 0.721 1
Cu1 Cu 0.068 0.500 0.830 1
Cu2 Cu 0.432 0.000 0.170 1
Cu3 Cu 0.568 0.000 0.830 1
Cu4 Cu 0.932 0.500 0.170 1
O1 O 0.191 0.000 0.692 1
O2 O 0.309 0.500 0.308 1
O3 O 0.691 0.500 0.692 1
O4 O 0.809 0.000 0.308 1
```

Properties
Distance to the lowest polymorph of the same formula = 65 meV/atom
D(E_F) = 0.594 states/eV/f.u.
Formation energy from raw total energies = -0.55 eV per atom

First-principles (PBE) data for crystalline KSb3Pt at its relaxed geometry, as listed in the Alexandria database.

```
data_KSb3Pt
_space_group_name_H-M_alt 'P 1'
_space_group_IT_number 1
_space_group_name_Hall 'P 1'
_cell_length_a 9.234
_cell_length_b 9.234
_cell_length_c 8.006
_cell_angle_alpha 109.08
_cell_angle_beta 109.08
_cell_angle_gamma 87.62
loop_
_atom_site_label
_atom_site_type_symbol
_atom_site_fract_x
_atom_site_fract_y
_atom_site_fract_z
_atom_site_occupancy
K1 K 0.040 0.960 0.750 1
K2 K 0.422 0.578 0.750 1
K3 K 0.578 0.422 0.250 1
K4 K 0.960 0.040 0.250 1
Sb1 Sb 0.064 0.594 0.417 1
Sb2 Sb 0.124 0.669 0.036 1
Sb3 Sb 0.203 0.330 0.218 1
Sb4 Sb 0.330 0.203 0.718 1
Sb5 Sb 0.331 0.876 0.464 1
Sb6 Sb 0.406 0.936 0.083 1
Sb7 Sb 0.594 0.064 0.917 1
Sb8 Sb 0.669 0.124 0.536 1
Sb9 Sb 0.670 0.797 0.282 1
Sb10 Sb 0.797 0.670 0.782 1
Sb11 Sb 0.876 0.331 0.964 1
Sb12 Sb 0.936 0.406 0.583 1
Pt1 Pt 0.143 0.368 0.882 1
Pt2 Pt 0.368 0.143 0.382 1
Pt3 Pt 0.632 0.857 0.618 1
Pt4 Pt 0.857 0.632 0.118 1
```

Properties
Distance to the lowest polymorph of the same formula = 0 meV/atom
D(E_F) = 1.421 states/eV/f.u.
Formation energy from raw total energies = -0.32 eV per atom

First-principles (PBE) data for crystalline Sr6Te3PBr2 at its relaxed geometry, as listed in the Alexandria database.

```
data_Sr6Te3PBr2
_space_group_name_H-M_alt 'P 1'
_space_group_IT_number 1
_space_group_name_Hall 'P 1'
_cell_length_a 8.027
_cell_length_b 8.027
_cell_length_c 7.925
_cell_angle_alpha 99.62
_cell_angle_beta 99.62
_cell_angle_gamma 119.87
loop_
_atom_site_label
_atom_site_type_symbol
_atom_site_fract_x
_atom_site_fract_y
_atom_site_fract_z
_atom_site_occupancy
Sr1 Sr 0.080 0.388 0.739 1
Sr2 Sr 0.224 0.224 0.253 1
Sr3 Sr 0.388 0.080 0.739 1
Sr4 Sr 0.612 0.920 0.261 1
Sr5 Sr 0.776 0.776 0.747 1
Sr6 Sr 0.920 0.612 0.261 1
Te1 Te 0.176 0.824 0.000 1
Te2 Te 0.500 0.500 0.000 1
Te3 Te 0.824 0.176 0.000 1
P1 P 0.000 0.000 0.500 1
Br1 Br 0.335 0.665 0.500 1
Br2 Br 0.665 0.335 0.500 1
```

Properties
D(E_F) = 3.705 states/eV/f.u.
Formation energy from raw total energies = -1.63 eV per atom

First-principles (PBE) data for crystalline Sr3TcN3 at its relaxed geometry, as listed in the Alexandria database.

```
data_Sr3TcN3
_space_group_name_H-M_alt 'P 1'
_space_group_IT_number 1
_space_group_name_Hall 'P 1'
_cell_length_a 7.049
_cell_length_b 7.049
_cell_length_c 5.456
_cell_angle_alpha 90.00
_cell_angle_beta 90.00
_cell_angle_gamma 101.25
loop_
_atom_site_label
_atom_site_type_symbol
_atom_site_fract_x
_atom_site_fract_y
_atom_site_fract_z
_atom_site_occupancy
Sr1 Sr 0.107 0.893 0.750 1
Sr2 Sr 0.172 0.408 0.750 1
Sr3 Sr 0.408 0.172 0.250 1
Sr4 Sr 0.592 0.828 0.750 1
Sr5 Sr 0.828 0.592 0.250 1
Sr6 Sr 0.893 0.107 0.250 1
Tc1 Tc 0.306 0.694 0.250 1
Tc2 Tc 0.694 0.306 0.750 1
N1 N 0.127 0.873 0.250 1
N2 N 0.179 0.435 0.250 1
N3 N 0.435 0.179 0.750 1
N4 N 0.565 0.821 0.250 1
N5 N 0.821 0.565 0.750 1
N6 N 0.873 0.127 0.750 1
```

Properties
Distance to the lowest polymorph of the same formula = 0 meV/atom
D(E_F) = 3.088 states/eV/f.u.
Formation energy from raw total energies = -0.66 eV per atom

First-principles (PBE) data for crystalline KTlSbI2 at its relaxed geometry, as listed in the Alexandria database.

```
data_KTlSbI2
_space_group_name_H-M_alt 'P 1'
_space_group_IT_number 1
_space_group_name_Hall 'P 1'
_cell_length_a 6.580
_cell_length_b 6.580
_cell_length_c 6.508
_cell_angle_alpha 90.00
_cell_angle_beta 90.00
_cell_angle_gamma 90.00
loop_
_atom_site_label
_atom_site_type_symbol
_atom_site_fract_x
_atom_site_fract_y
_atom_site_fract_z
_atom_site_occupancy
K1 K 0.000 0.000 0.000 1
Tl1 Tl 0.500 0.500 0.500 1
Sb1 Sb 0.000 0.000 0.500 1
I1 I 0.000 0.500 0.000 1
I2 I 0.500 0.000 0.000 1
```

Properties
Distance to the lowest polymorph of the same formula = 282 meV/atom
Formation energy from raw total energies = -0.02 eV per atom

First-principles (PBE) data for crystalline Tl7InBi2 at its relaxed geometry, as listed in the Alexandria database.

```
data_Tl7InBi2
_space_group_name_H-M_alt 'P 1'
_space_group_IT_number 1
_space_group_name_Hall 'P 1'
_cell_length_a 14.914
_cell_length_b 14.914
_cell_length_c 3.300
_cell_angle_alpha 90.00
_cell_angle_beta 90.00
_cell_angle_gamma 154.21
loop_
_atom_site_label
_atom_site_type_symbol
_atom_site_fract_x
_atom_site_fract_y
_atom_site_fract_z
_atom_site_occupancy
Tl1 Tl 0.000 0.000 0.000 1
Tl2 Tl 0.161 0.355 0.000 1
Tl3 Tl 0.301 0.699 0.500 1
Tl4 Tl 0.355 0.161 0.000 1
Tl5 Tl 0.645 0.839 0.000 1
Tl6 Tl 0.699 0.301 0.500 1
Tl7 Tl 0.839 0.645 0.000 1
In1 In 0.500 0.500 0.500 1
Bi1 Bi 0.195 0.805 0.000 1
Bi2 Bi 0.805 0.195 0.000 1
```

Properties
VASP energy = -26.539 eV per cell
D(E_F) = 5.540 states/eV/f.u.

First-principles (PBE) data for crystalline Be2Co2Ni at its relaxed geometry, as listed in the Alexandria database.

```
data_Be2Co2Ni
_space_group_name_H-M_alt 'P 1'
_space_group_IT_number 1
_space_group_name_Hall 'P 1'
_cell_length_a 5.874
_cell_length_b 5.874
_cell_length_c 2.682
_cell_angle_alpha 90.00
_cell_angle_beta 90.00
_cell_angle_gamma 90.00
loop_
_atom_site_label
_atom_site_type_symbol
_atom_site_fract_x
_atom_site_fract_y
_atom_site_fract_z
_atom_site_occupancy
Be1 Be 0.129 0.371 0.000 1
Be2 Be 0.371 0.871 0.000 1
Be3 Be 0.629 0.129 0.000 1
Be4 Be 0.871 0.629 0.000 1
Co1 Co 0.168 0.668 0.500 1
Co2 Co 0.332 0.168 0.500 1
Co3 Co 0.668 0.832 0.500 1
Co4 Co 0.832 0.332 0.500 1
Ni1 Ni 0.000 0.000 0.000 1
Ni2 Ni 0.500 0.500 0.000 1
```

Properties
Distance to the lowest polymorph of the same formula = 0 meV/atom
D(E_F) = 4.827 states/eV/f.u.

First-principles (PBE) data for crystalline SrCr2Se at its relaxed geometry, as listed in the Alexandria database.

```
data_SrCr2Se
_space_group_name_H-M_alt 'P 1'
_space_group_IT_number 1
_space_group_name_Hall 'P 1'
_cell_length_a 3.479
_cell_length_b 5.118
_cell_length_c 10.736
_cell_angle_alpha 90.00
_cell_angle_beta 90.00
_cell_angle_gamma 90.00
loop_
_atom_site_label
_atom_site_type_symbol
_atom_site_fract_x
_atom_site_fract_y
_atom_site_fract_z
_atom_site_occupancy
Sr1 Sr 0.000 0.000 0.000 1
Sr2 Sr 0.500 0.500 0.500 1
Cr1 Cr 0.000 0.500 0.203 1
Cr2 Cr 0.000 0.500 0.797 1
Cr3 Cr 0.500 0.000 0.297 1
Cr4 Cr 0.500 0.000 0.703 1
Se1 Se 0.000 0.000 0.500 1
Se2 Se 0.500 0.500 0.000 1
```

Properties
D(E_F) = 2.527 states/eV/f.u.
Formation energy from raw total energies = 0.24 eV per atom